# TmZn12Cu4 | Alexandria via LeMat-Bulk | PBE | relaxed
# Energy of formation from the pure elements: 0.18 eV per atom
# Calculated total energy: -33.11 eV per formula unit
# Fermi-level density of states: 6.63 states/eV per cell
# Space group: No. 204
data_TmZn12Cu4
_space_group_name_H-M_alt 'P 1'
_space_group_IT_number 1
_cell_length_a 7.350
_cell_length_b 7.350
_cell_length_c 7.350
_cell_angle_alpha 109.47
_cell_angle_beta 109.47
_cell_angle_gamma 109.47
loop_
_space_group_symop_operation_xyz
'x,y,z'
loop_
_atom_site_label
_atom_site_type_symbol
_atom_site_fract_x
_atom_site_fract_y
_atom_site_fract_z
Tm1 Tm 0.000 0.000 0.000
Zn1 Zn 0.844 0.350 0.194
Zn2 Zn 0.350 0.507 0.156
Zn3 Zn 0.806 0.156 0.650
Zn4 Zn 0.350 0.194 0.844
Zn5 Zn 0.194 0.844 0.350
Zn6 Zn 0.650 0.493 0.844
Zn7 Zn 0.507 0.156 0.350
Zn8 Zn 0.493 0.844 0.650
Zn9 Zn 0.650 0.806 0.156
Zn10 Zn 0.844 0.650 0.493
Zn11 Zn 0.156 0.350 0.507
Zn12 Zn 0.156 0.650 0.806
Cu1 Cu 0.000 0.500 0.000
Cu2 Cu 0.500 0.000 0.000
Cu3 Cu 0.500 0.500 0.500
Cu4 Cu 0.000 0.000 0.500